Record 1
Material: Tb2SmRuO8
Method: DFT, PBE-GGA
State: relaxed

```
Tb2SmRuO8
1.0
5.076 0.000 0.000
0.000 6.844 0.000
0.000 0.000 5.087
Tb Sm Ru O
2 1 1 8
Direct
0.000 0.250 0.000 Tb
0.000 0.750 0.000 Tb
0.500 0.000 0.500 Sm
0.500 0.500 0.500 Ru
0.189 0.000 0.187 O
0.237 0.500 0.235 O
0.315 0.294 0.683 O
0.315 0.706 0.683 O
0.685 0.294 0.317 O
0.685 0.706 0.317 O
0.763 0.500 0.765 O
0.811 0.000 0.813 O
```

Results
**Uncorrected formation energy**: -2.36 eV per atom
**Magnetization**: 1.04 μB per formula unit
**SG**: P2/m, No. 10
**D(E_F)**: 3.31 states/eV per cell
**Crystal system**: monoclinic

---

Record 2
Material: Sm2TlRuO5
Method: DFT, PBE-GGA
State: relaxed

```
Sm2TlRuO5
1.0
6.827 0.000 0.000
0.000 6.827 0.000
0.000 0.000 5.844
Sm Tl Ru O
4 2 2 10
Direct
0.178 0.322 0.000 Sm
0.322 0.822 0.000 Sm
0.678 0.178 0.000 Sm
0.822 0.678 0.000 Sm
0.000 0.000 0.500 Tl
0.500 0.500 0.500 Tl
0.000 0.500 0.500 Ru
0.500 0.000 0.500 Ru
0.000 0.000 0.000 O
0.132 0.632 0.244 O
0.132 0.632 0.756 O
0.368 0.132 0.244 O
0.368 0.132 0.756 O
0.500 0.500 0.000 O
0.632 0.868 0.244 O
0.632 0.868 0.756 O
0.868 0.368 0.244 O
0.868 0.368 0.756 O
```

Results
**Uncorrected formation energy**: -2.11 eV per atom
**Magnetization**: 3.00 μB per formula unit
**SG**: P4/mbm, No. 127
**D(E_F)**: 0.82 states/eV per cell
**Crystal system**: tetragonal

---

Record 3
Material: SmTlRu2O8
Method: DFT, PBE-GGA
State: relaxed

```
SmTlRu2O8
1.0
6.051 0.000 0.000
-3.026 5.241 0.000
0.000 0.000 7.850
Sm Tl Ru O
1 1 2 8
Direct
0.000 0.000 0.000 Sm
0.000 0.000 0.500 Tl
0.333 0.667 0.264 Ru
0.667 0.333 0.736 Ru
0.169 0.342 0.186 O
0.174 0.831 0.186 O
0.333 0.667 0.487 O
0.342 0.174 0.814 O
0.658 0.826 0.186 O
0.667 0.333 0.513 O
0.826 0.169 0.814 O
0.831 0.658 0.814 O
```

Results
**Uncorrected formation energy**: -1.30 eV per atom
**Magnetization**: 4.03 μB per formula unit
**SG**: P-3, No. 147
**D(E_F)**: 1.68 states/eV per cell
**Crystal system**: trigonal

---

Record 4
Material: SmTlRuO6
Method: DFT, PBE-GGA
State: relaxed

```
SmTlRuO6
1.0
5.608 0.000 0.000
-2.804 4.857 0.000
0.000 0.000 4.660
Sm Tl Ru O
1 1 1 6
Direct
0.000 0.000 0.000 Sm
0.667 0.333 0.500 Tl
0.333 0.667 0.000 Ru
0.049 0.379 0.237 O
0.049 0.669 0.763 O
0.331 0.379 0.763 O
0.331 0.951 0.237 O
0.621 0.669 0.237 O
0.621 0.951 0.763 O
```

Results
**Uncorrected formation energy**: -1.35 eV per atom
**Magnetization**: 1.45 μB per formula unit
**SG**: P312, No. 149
**D(E_F)**: 4.68 states/eV per cell
**Crystal system**: trigonal

---

Record 5
Material: Sm2Tl2RuO6
Method: DFT, PBE-GGA
State: relaxed

```
Sm2Tl2RuO6
1.0
2.962 -5.121 0.000
2.962 5.121 0.000
-1.681 0.000 6.542
Sm Tl Ru O
2 2 1 6
Direct
0.165 0.835 0.000 Sm
0.835 0.165 0.000 Sm
0.340 0.660 0.500 Tl
0.660 0.340 0.500 Tl
0.500 0.500 0.000 Ru
0.155 0.457 0.837 O
0.256 0.256 0.176 O
0.457 0.155 0.837 O
0.543 0.845 0.163 O
0.744 0.744 0.824 O
0.845 0.543 0.163 O
```

Results
**Uncorrected formation energy**: -1.83 eV per atom
**Magnetization**: 2.00 μB per formula unit
**SG**: C2/m, No. 12
**D(E_F)**: 6.06 states/eV per cell
**Crystal system**: monoclinic

---

Record 6
Material: SmTl2RuO8
Method: DFT, PBE-GGA
State: relaxed

```
SmTl2RuO8
1.0
5.074 0.000 0.000
-0.122 5.141 0.000
-0.006 -0.005 6.758
Sm Tl Ru O
1 2 1 8
Direct
0.000 0.000 0.000 Sm
0.499 0.500 0.746 Tl
0.501 0.500 0.254 Tl
0.000 0.000 0.500 Ru
0.190 0.836 0.295 O
0.191 0.836 0.705 O
0.261 0.290 0.500 O
0.291 0.329 0.000 O
0.709 0.671 0.000 O
0.739 0.710 0.500 O
0.809 0.164 0.295 O
0.810 0.164 0.705 O
```

Results
**Uncorrected formation energy**: -1.12 eV per atom
**Magnetization**: 0.95 μB per formula unit
**SG**: P-1, No. 2
**D(E_F)**: 5.39 states/eV per cell
**Crystal system**: triclinic

---

Record 7
Material: SmY2RuO8
Method: DFT, PBE-GGA
State: relaxed

```
SmY2RuO8
1.0
5.066 0.000 0.000
0.000 6.831 0.000
-0.004 0.000 5.077
Sm Y Ru O
1 2 1 8
Direct
0.000 0.000 0.000 Sm
0.500 0.250 0.500 Y
0.500 0.750 0.500 Y
0.000 0.500 0.000 Ru
0.185 0.294 0.817 O
0.185 0.706 0.817 O
0.265 0.500 0.266 O
0.312 0.000 0.313 O
0.688 0.000 0.687 O
0.735 0.500 0.734 O
0.815 0.294 0.183 O
0.815 0.706 0.183 O
```

Results
**Uncorrected formation energy**: -2.35 eV per atom
**Magnetization**: 1.04 μB per formula unit
**SG**: P2/m, No. 10
**D(E_F)**: 3.41 states/eV per cell
**Crystal system**: monoclinic

---

Record 8
Material: SnRuO3
Method: DFT, PBE-GGA
State: relaxed

```
SnRuO3
1.0
4.002 0.000 0.000
0.000 4.002 0.000
0.000 0.000 4.002
Sn Ru O
1 1 3
Direct
0.000 0.000 0.000 Sn
0.500 0.500 0.500 Ru
0.000 0.500 0.500 O
0.500 0.000 0.500 O
0.500 0.500 0.000 O
```

Results
**Uncorrected formation energy**: -0.79 eV per atom
**Magnetization**: 1.72 μB per formula unit
**SG**: Pm-3m, No. 221
**D(E_F)**: 2.47 states/eV per cell
**Crystal system**: cubic